Cs2RbReC PBE-GGA optimized geometry; DFT formation energy = 2385 meV per atom; N(E_F) = 3.7 states/eV per cell; crystal system = tetragonal; size of the total moment = 5.272 μB per formula unit
1.0
-3.0830 -2.9038 -4.3473
5.7100 -1.9782 -2.7281
-0.1023 -5.0124 3.4207
Cs Re C Rb
2 1 1 1
direct
0.0000 0.0000 0.5000 Cs
0.5000 0.0000 0.0000 Cs
0.0000 0.0000 0.0000 Re
0.5000 0.5000 0.5000 C
0.0000 0.5000 0.0000 Rb